(1)
DFT (PBE) results for an optimized crystal structure of Cs2NdZn2Te4.

Output
Uncorrected formation energy: -0.8975 eV per atom
V: 340.59 Å³ per cell

abc: 8.770 8.770 8.835
angles: 107.93 107.93 31.94
Positions (direct):
Cs (0.134, 0.134, 0.063)
Cs (0.866, 0.866, 0.937)
Nd (0.000, 0.000, 0.500)
Zn (0.327, 0.327, 0.504)
Zn (0.673, 0.673, 0.496)
Te (0.201, 0.201, 0.656)
Te (0.482, 0.482, 0.731)
Te (0.518, 0.518, 0.269)
Te (0.799, 0.799, 0.344)

=====

(2)
DFT (PBE) results for an optimized crystal structure of Nd8Mg3Co2.

Output
Calculated formation energy: 29.8 meV/atom
V: 373.15 Å³ per cell

abc: 10.740 10.740 3.713
angles: 93.72 93.72 60.90
Positions (direct):
Nd (0.032, 0.620, 0.274)
Nd (0.074, 0.074, 0.271)
Nd (0.332, 0.332, 0.808)
Nd (0.380, 0.968, 0.726)
Nd (0.620, 0.032, 0.274)
Nd (0.668, 0.668, 0.192)
Nd (0.926, 0.926, 0.729)
Nd (0.968, 0.380, 0.726)
Mg (0.272, 0.728, 0.000)
Mg (0.500, 0.500, 0.500)
Mg (0.728, 0.272, 0.000)
Co (0.221, 0.221, 0.248)
Co (0.779, 0.779, 0.752)

=====

(3)
DFT (PBE) results for an optimized crystal structure of Be2TcAs.

Output
Calculated formation energy: 56.6 meV/atom
V: 46.14 Å³ per cell

abc: 3.763 3.763 3.259
angles: 90.00 90.00 90.00
Positions (direct):
Be (0.000, 0.500, 0.000)
Be (0.500, 0.000, 0.000)
Tc (0.000, 0.000, 0.500)
As (0.500, 0.500, 0.500)

=====

(4)
DFT (PBE) results for an optimized crystal structure of Ac5Pm2Tm.

Output
Calculated formation energy: 118.3 meV/atom
V: 654.41 Å³ per cell

abc: 6.956 6.956 17.870
angles: 90.00 90.00 130.82
Positions (direct):
Ac (0.007, 0.993, 0.750)
Ac (0.143, 0.857, 0.044)
Ac (0.143, 0.857, 0.456)
Ac (0.448, 0.552, 0.101)
Ac (0.448, 0.552, 0.399)
Ac (0.552, 0.448, 0.601)
Ac (0.552, 0.448, 0.899)
Ac (0.857, 0.143, 0.544)
Ac (0.857, 0.143, 0.956)
Ac (0.993, 0.007, 0.250)
Pm (0.259, 0.741, 0.649)
Pm (0.259, 0.741, 0.851)
Pm (0.741, 0.259, 0.149)
Pm (0.741, 0.259, 0.351)
Tm (0.266, 0.734, 0.250)
Tm (0.734, 0.266, 0.750)

=====

(5)
DFT (PBE) results for an optimized crystal structure of CuPt5.

Output
Calculated formation energy: -14.2 meV/atom
V: 91.71 Å³ per cell

abc: 4.660 7.325 7.325
angles: 21.52 90.00 90.00
Positions (direct):
Cu (0.000, 0.000, 0.000)
Pt (0.000, 0.339, 0.339)
Pt (0.000, 0.661, 0.661)
Pt (0.500, 0.106, 0.106)
Pt (0.500, 0.441, 0.441)
Pt (0.500, 0.773, 0.773)

=====

(6)
DFT (PBE) results for an optimized crystal structure of LaIn2Au2.

Output
Calculated formation energy: -328.4 meV/atom
V: 236.81 Å³ per cell

abc: 8.488 8.488 3.287
angles: 90.00 90.00 90.00
Positions (direct):
La (0.000, 0.000, 0.000)
La (0.500, 0.500, 0.000)
In (0.130, 0.370, 0.000)
In (0.370, 0.870, 0.000)
In (0.630, 0.130, 0.000)
In (0.870, 0.630, 0.000)
Au (0.167, 0.667, 0.500)
Au (0.333, 0.167, 0.500)
Au (0.667, 0.833, 0.500)
Au (0.833, 0.333, 0.500)

=====

(7)
DFT (PBE) results for an optimized crystal structure of BeRhN2O.

Output
Uncorrected formation energy: 1.2391 eV per atom
V: 59.41 Å³ per cell

abc: 3.728 3.728 4.275
angles: 90.00 90.00 90.00
Positions (direct):
Be (0.000, 0.000, 0.000)
Rh (0.500, 0.500, 0.500)
N (0.000, 0.500, 0.500)
N (0.500, 0.000, 0.500)
O (0.500, 0.500, 0.000)

=====

(8)
DFT (PBE) results for an optimized crystal structure of BaCd2Cl.

Output
Uncorrected formation energy: -0.8420 eV per atom
Energy relative to the lowest polymorph listed for this composition: 14 meV/atom
V: 130.25 Å³ per cell

abc: 7.414 7.414 4.376
angles: 106.63 106.63 131.26
Positions (direct):
Ba (0.000, 0.000, 0.000)
Cd (0.000, 0.500, 0.500)
Cd (0.500, 0.000, 0.500)
Cl (0.500, 0.500, 0.000)

=====

(9)
DFT (PBE) results for an optimized crystal structure of ZrZnAs2Se.

Output
Uncorrected formation energy: 0.1509 eV per atom
Energy relative to the lowest polymorph listed for this composition: 0 meV/atom
V: 142.18 Å³ per cell

abc: 5.249 5.249 5.161
angles: 90.00 90.00 90.00
Positions (direct):
Zr (0.000, 0.000, 0.000)
Zn (0.500, 0.500, 0.500)
As (0.000, 0.500, 0.000)
As (0.500, 0.000, 0.000)
Se (0.000, 0.000, 0.500)

=====

(10)
DFT (PBE) results for an optimized crystal structure of Pu2AlNi4Ge3.

Output
Calculated formation energy: -507.3 meV/atom
V: 163.10 Å³ per cell

abc: 4.065 4.065 9.870
angles: 90.00 90.00 90.00
Positions (direct):
Pu (0.000, 0.500, 0.246)
Pu (0.500, 0.000, 0.754)
Al (0.000, 0.000, 0.500)
Ni (0.000, 0.000, 0.000)
Ni (0.000, 0.500, 0.633)
Ni (0.500, 0.000, 0.367)
Ni (0.500, 0.500, 0.000)
Ge (0.000, 0.500, 0.871)
Ge (0.500, 0.000, 0.129)
Ge (0.500, 0.500, 0.500)

=====

(11)
DFT (PBE) results for an optimized crystal structure of Tb4CdPd7.

Output
Calculated formation energy: -652.8 meV/atom
V: 256.11 Å³ per cell

abc: 5.990 5.990 10.413
angles: 116.10 116.10 51.81
Positions (direct):
Tb (0.095, 0.095, 0.289)
Tb (0.291, 0.291, 0.868)
Tb (0.709, 0.709, 0.132)
Tb (0.905, 0.905, 0.711)
Cd (0.500, 0.500, 0.500)
Pd (0.000, 0.000, 0.500)
Pd (0.132, 0.132, 0.020)
Pd (0.289, 0.289, 0.596)
Pd (0.423, 0.423, 0.189)
Pd (0.577, 0.577, 0.811)
Pd (0.711, 0.711, 0.404)
Pd (0.868, 0.868, 0.980)

=====

(12)
DFT (PBE) results for an optimized crystal structure of Pr2ScSb3.

Output
Uncorrected formation energy: -1.0635 eV per atom
Energy relative to the lowest polymorph listed for this composition: 11 meV/atom
V: 185.57 Å³ per cell

abc: 7.663 7.663 7.663
angles: 146.37 131.28 60.51
Positions (direct):
Pr (0.171, 0.171, 0.000)
Pr (0.829, 0.829, 0.000)
Sc (0.500, 0.500, 0.000)
Sb (0.000, 0.500, 0.500)
Sb (0.347, 0.847, 0.500)
Sb (0.653, 0.153, 0.500)

=====

(13)
DFT (PBE) results for an optimized crystal structure of BiAsCBr2.

Output
Uncorrected formation energy: 1.6173 eV per atom
Energy relative to the lowest polymorph listed for this composition: 608 meV/atom
V: 193.08 Å³ per cell

abc: 5.746 5.746 5.848
angles: 90.00 90.00 90.00
Positions (direct):
Bi (0.000, 0.000, 0.000)
As (0.000, 0.000, 0.500)
C (0.500, 0.500, 0.500)
Br (0.000, 0.500, 0.000)
Br (0.500, 0.000, 0.000)

=====

(14)
DFT (PBE) results for an optimized crystal structure of LiAl2Pd2.

Output
Calculated formation energy: -530.3 meV/atom
Energy relative to the lowest polymorph listed for this composition: 230 meV/atom
V: 87.10 Å³ per cell

abc: 6.405 6.405 6.405
angles: 144.75 144.75 50.71
Positions (direct):
Li (0.000, 0.000, 0.000)
Al (0.250, 0.750, 0.500)
Al (0.750, 0.250, 0.500)
Pd (0.386, 0.386, 0.000)
Pd (0.614, 0.614, 0.000)

=====

(15)
DFT (PBE) results for an optimized crystal structure of SrAc2Co2.

Output
Calculated formation energy: 11.2 meV/atom
V: 164.93 Å³ per cell

abc: 9.759 9.759 4.198
angles: 90.00 90.00 155.64
Positions (direct):
Sr (0.000, 0.000, 0.000)
Ac (0.338, 0.662, 0.500)
Ac (0.662, 0.338, 0.500)
Co (0.225, 0.775, 0.000)
Co (0.775, 0.225, 0.000)

=====

(16)
DFT (PBE) results for an optimized crystal structure of CaBeNiRh2.

Output
Calculated formation energy: -157.7 meV/atom
V: 75.80 Å³ per cell

abc: 4.281 4.281 4.137
angles: 90.00 90.00 90.00
Positions (direct):
Ca (0.000, 0.000, 0.000)
Be (0.500, 0.500, 0.500)
Ni (0.500, 0.500, 0.000)
Rh (0.000, 0.500, 0.500)
Rh (0.500, 0.000, 0.500)

=====

(17)
DFT (PBE) results for an optimized crystal structure of Ac2MgH12Rh3.

Output
V: 180.47 Å³ per cell

abc: 6.069 6.069 6.069
angles: 66.59 66.59 66.59
Positions (direct):
Ac (0.123, 0.123, 0.123)
Ac (0.877, 0.877, 0.877)
Mg (0.500, 0.500, 0.500)
H (0.134, 0.611, 0.611)
H (0.188, 0.188, 0.601)
H (0.188, 0.601, 0.188)
H (0.389, 0.389, 0.866)
H (0.389, 0.866, 0.389)
H (0.399, 0.812, 0.812)
H (0.601, 0.188, 0.188)
H (0.611, 0.134, 0.611)
H (0.611, 0.611, 0.134)
H (0.812, 0.399, 0.812)
H (0.812, 0.812, 0.399)
H (0.866, 0.389, 0.389)
Rh (0.000, 0.500, 0.500)
Rh (0.500, 0.000, 0.500)
Rh (0.500, 0.500, 0.000)

=====

(18)
DFT (PBE) results for an optimized crystal structure of YNp2In9.

Output
Calculated formation energy: -147.7 meV/atom
V: 300.02 Å³ per cell

abc: 4.636 4.636 13.957
angles: 90.00 90.00 90.00
Positions (direct):
Y (0.000, 0.000, 0.000)
Np (0.000, 0.000, 0.332)
Np (0.000, 0.000, 0.668)
In (0.000, 0.500, 0.167)
In (0.000, 0.500, 0.500)
In (0.000, 0.500, 0.833)
In (0.500, 0.000, 0.167)
In (0.500, 0.000, 0.500)
In (0.500, 0.000, 0.833)
In (0.500, 0.500, 0.000)
In (0.500, 0.500, 0.334)
In (0.500, 0.500, 0.666)

=====

no.,size of the total moment (μB/cell),VASP energy (eV per cell)
1,0.00,-29.67
2,0.00,-56.75
3,0.00,-22.24
4,0.00,-67.14
5,0.00,-34.39
6,0.91,-37.20
7,0.00,-26.49
8,0.00,-8.97
9,0.00,-21.85
10,10.60,-74.46
11,0.00,-63.62
12,0.00,-34.64
13,3.85,-13.01
14,0.00,-22.44
15,1.48,-24.05
16,1.09,-27.00
17,0.00,-78.10
18,8.60,-58.76